Arrangement w

A plane-wave DFT calculation with PBE was carried out for LiZrSb2 after structural relaxation.

```
LiZrSb2
1.0
-0.221 1.180 4.919
2.681 -1.646 0.515
4.394 3.828 -0.721
Li Sb Zr
1 2 1
Cartesian
4.877 2.835 2.145
6.604 1.839 -0.145
2.075 1.391 2.366
3.910 0.571 0.039
```

Output
The value obtained for the calculated density is 6.22 Mg/m³. The magnetic moment comes out at 0.0000 μB per atom. For the density of states at the Fermi level, the calculation gives 1.7 states/eV/cell.



Arrangement x

A plane-wave DFT calculation with PBE was carried out for LiZrSb2 after structural relaxation.

```
LiZrSb2
1.0
-3.616 2.959 -2.294
-4.038 -3.226 0.615
3.169 2.166 3.515
Li Sb Zr
1 2 1
Cartesian
-2.348 -0.596 1.645
-0.130 -0.005 -0.028
-3.697 -0.129 -0.811
-2.137 2.496 0.191
```

Output
The value obtained for the calculated density is 6.29 Mg/m³. The magnetic moment comes out at 0.0013 μB per atom. For the density of states at the Fermi level, the calculation gives 2.9 states/eV/cell.



Arrangement y

A plane-wave DFT calculation with PBE was carried out for LiZrSb2 after structural relaxation.

```
LiZrSb2
1.0
-0.294 0.830 -3.527
-2.558 -2.827 -0.452
-4.765 4.094 1.361
Li Sb Zr
1 2 1
Cartesian
-4.999 2.072 -0.969
-0.018 0.016 0.005
-2.364 2.031 0.675
-2.617 0.025 -1.649
```

Output
The value obtained for the calculated density is 6.33 Mg/m³. The magnetic moment comes out at 0.0901 μB per atom. For the density of states at the Fermi level, the calculation gives 3.0 states/eV/cell.



Most favorable structure: arrangement y. The second most favorable one is 21 meV/atom above it.



Arrangement w

A plane-wave DFT calculation with PBE was carried out for LiZrSb2 after structural relaxation.

```
LiZrSb2
1.0
-0.390 -3.136 -2.454
0.745 -2.481 3.052
-5.685 -0.231 1.200
Li Sb Zr
1 2 1
Cartesian
-4.329 -2.991 1.250
-5.351 -0.217 1.129
-1.570 -2.879 0.668
-2.607 -0.106 0.550
```

Output
The value obtained for the calculated density is 6.09 Mg/m³. The magnetic moment comes out at 0.0000 μB per atom. For the density of states at the Fermi level, the calculation gives 1.9 states/eV/cell.



Arrangement x

A plane-wave DFT calculation with PBE was carried out for LiZrSb2 after structural relaxation.

```
LiZrSb2
1.0
7.619 0.000 0.000
0.000 7.619 0.000
3.810 3.810 3.255
Sb Zr Li
4 2 2
Cartesian
5.577 1.905 0.814
2.043 5.715 0.814
5.715 5.852 2.441
9.524 9.386 2.441
0.000 0.000 0.000
7.619 3.810 1.628
3.810 3.810 0.000
3.810 7.619 1.628
```

Output
The value obtained for the calculated density is 6.00 Mg/m³. The magnetic moment comes out at 0.0000 μB per atom. For the density of states at the Fermi level, the calculation gives 6.1 states/eV/cell.



Arrangement y

A plane-wave DFT calculation with PBE was carried out for LiZrSb2 after structural relaxation.

```
LiZrSb2
1.0
-1.925 -3.142 -2.129
-2.549 -2.716 2.059
-6.447 1.844 -1.148
Li Zr Sb
1 1 2
Cartesian
-5.543 -1.943 -0.628
-9.396 -2.087 -1.187
-5.160 0.858 -0.856
-2.728 -1.005 -0.304
```

Output
The value obtained for the calculated density is 5.70 Mg/m³. The magnetic moment comes out at 0.0000 μB per atom. For the density of states at the Fermi level, the calculation gives 1.6 states/eV/cell.



Most favorable structure: arrangement y. The second most favorable one is 31 meV/atom above it.



Arrangement w

A plane-wave DFT calculation with PBE was carried out for LiZrSb3 after structural relaxation.

```
LiZrSb3
1.0
5.569 0.000 0.000
0.000 5.569 0.000
0.000 0.000 5.569
Sb Zr Li
3 1 1
Cartesian
0.000 2.785 0.000
0.000 0.000 2.785
2.785 0.000 0.000
0.000 0.000 0.000
2.785 2.785 2.785
```

Output
The value obtained for the calculated density is 4.45 Mg/m³. The magnetic moment comes out at 0.0000 μB per atom. For the density of states at the Fermi level, the calculation gives 5.0 states/eV/cell.



Arrangement x

A plane-wave DFT calculation with PBE was carried out for LiZrSb3 after structural relaxation.

```
LiZrSb3
1.0
4.959 0.000 0.000
0.000 4.959 0.000
0.000 0.000 4.959
Sb Zr Li
3 1 1
Cartesian
0.000 2.480 0.000
0.000 0.000 2.480
2.480 0.000 0.000
2.480 2.480 2.480
0.000 0.000 0.000
```

Output
The value obtained for the calculated density is 6.31 Mg/m³. The magnetic moment comes out at 0.0003 μB per atom. For the density of states at the Fermi level, the calculation gives 5.1 states/eV/cell.



Most favorable structure: arrangement w. The second most favorable one is 278 meV/atom above it.



Arrangement w

A plane-wave DFT calculation with PBE was carried out for LiSc3 after structural relaxation.

```
LiSc3
1.0
-2.950 -1.412 -0.110
1.698 0.458 -2.759
4.363 -9.208 1.156
Sc Li
3 1
Cartesian
2.181 -4.604 0.578
-0.307 -3.096 -0.703
1.868 -7.688 -0.127
0.000 0.000 0.000
```

Output
The value obtained for the calculated density is 2.48 Mg/m³. The magnetic moment comes out at 0.1460 μB per atom. For the density of states at the Fermi level, the calculation gives 6.5 states/eV/cell.



Arrangement x

A plane-wave DFT calculation with PBE was carried out for LiSc3 after structural relaxation.

```
LiSc3
1.0
-3.414 -4.519 0.153
2.701 -4.772 -1.424
1.118 4.172 3.666
Li Sc
1 3
Cartesian
0.000 0.000 0.000
1.732 -2.623 0.803
-0.357 -4.645 -0.635
-1.326 -2.496 1.592
```

Output
The value obtained for the calculated density is 2.51 Mg/m³. The magnetic moment comes out at 0.5232 μB per atom. For the density of states at the Fermi level, the calculation gives 7.3 states/eV/cell.



Most favorable structure: arrangement w. The second most favorable one is 118 meV/atom above it.



Arrangement w

A plane-wave DFT calculation with PBE was carried out for LiSc3 after structural relaxation.

```
LiSc3
1.0
6.020 -0.008 -0.004
2.932 5.258 0.004
-3.919 -3.575 2.847
Sc Li
3 1
Cartesian
4.651 2.327 0.237
3.681 -0.651 1.659
1.703 1.727 1.663
0.174 -0.297 0.236
```

Output
The value obtained for the calculated density is 2.61 Mg/m³. The magnetic moment comes out at 0.0000 μB per atom. For the density of states at the Fermi level, the calculation gives 6.2 states/eV/cell.



Arrangement x

A plane-wave DFT calculation with PBE was carried out for LiSc3 after structural relaxation.

```
LiSc3
1.0
4.538 0.000 0.000
0.000 4.538 0.000
0.000 0.000 4.538
Sc Li
3 1
Cartesian
0.000 2.269 2.269
2.269 0.000 2.269
2.269 2.269 0.000
0.000 0.000 0.000
```

Output
The value obtained for the calculated density is 2.52 Mg/m³. The magnetic moment comes out at 0.4685 μB per atom. For the density of states at the Fermi level, the calculation gives 8.2 states/eV/cell.



Most favorable structure: arrangement w. The second most favorable one is 107 meV/atom above it.